A relaxed Cu2ClO crystal. Source: Alexandria, functional PBE-GGA.

Polymorph energy (0 for the lowest one) = 67 meV/atom
Theoretical density = 4.91 Mg/m³
Size of the total moment = 0.00 μB/cell
D(E_F) = 1.44 states/eV per atom
Calculated volume = 120.8 Å³ per cell
Uncorrected energy = -4.137 eV/atom

abc: 5.8360 3.3653 6.1496
angles: 90.00 90.12 90.00
Space group Cm (No. 8)
One atom of each set of equivalent atoms:
Cu (0.0000, 0.0000, 0.0000) x2
Cu (0.1707, 0.5000, 0.6333) x2
Cl (0.1700, 0.5000, 0.2191) x2
O (0.0039, 0.0000, 0.6892) x2